Compound: CaMgOF2
Source: the Alexandria database
Functional: PBE
Structure: optimized geometry

Cell and atoms, written as POSCAR:
```
CaMgOF2
1.0
4.197 0.000 0.000
0.000 4.197 0.000
0.000 0.000 4.598
Ca Mg O F
1 1 1 2
direct
0.000 0.000 0.000
0.500 0.500 0.500
0.000 0.000 0.500
0.000 0.500 0.000
0.500 0.000 0.000
```

Results
- Relative energy among the computed polymorphs: 793 meV/atom
- Energy relative to the elements, uncorrected: -2.365 eV per atom
- SG: P4/mmm
- DFT total energy: -4.82 eV per atom
- Theoretical density: 2.43 g cm⁻³

***

Compound: CaMgOF2
Source: the Alexandria database
Functional: PBE
Structure: optimized geometry

Cell and atoms, written as POSCAR:
```
CaMgOF2
1.0
3.829 0.000 0.000
0.000 3.829 0.000
0.000 0.000 4.128
Ca Mg O F
1 1 1 2
direct
0.000 0.000 0.000
0.500 0.500 0.500
0.500 0.500 0.000
0.000 0.500 0.500
0.500 0.000 0.500
```

Results
- Relative energy among the computed polymorphs: 0 meV/atom
- Energy relative to the elements, uncorrected: -3.158 eV per atom
- SG: P4/mmm
- DFT total energy: -5.62 eV per atom
- Theoretical density: 3.25 g cm⁻³

***

Compound: CaMgO2F
Source: the Alexandria database
Functional: PBE
Structure: optimized geometry

Cell and atoms, written as POSCAR:
```
CaMgO2F
1.0
4.331 0.000 0.000
0.000 4.331 0.000
0.000 0.000 4.207
Ca Mg O F
1 1 2 1
direct
0.000 0.000 0.000
0.500 0.500 0.500
0.000 0.500 0.000
0.500 0.000 0.000
0.000 0.000 0.500
```

Results
- Energy relative to the elements, uncorrected: -1.660 eV per atom
- SG: P4/mmm
- DFT total energy: -4.74 eV per atom
- Theoretical density: 2.43 g cm⁻³

***

Compound: Ca2MgPbF8
Source: the Alexandria database
Functional: PBE
Structure: optimized geometry

Cell and atoms, written as POSCAR:
```
Ca2MgPbF8
1.0
4.093 0.000 0.000
0.000 7.631 0.000
-0.476 0.000 5.443
Ca Mg Pb F
2 1 1 8
direct
0.000 0.233 0.000
0.000 0.767 0.000
0.500 0.000 0.500
0.500 0.500 0.500
0.012 0.500 0.770
0.070 0.000 0.268
0.457 0.217 0.746
0.457 0.783 0.746
0.543 0.217 0.254
0.543 0.783 0.254
0.930 0.000 0.732
0.988 0.500 0.230
```

Results
- Energy relative to the elements, uncorrected: -3.379 eV per atom
- SG: P2/m
- DFT total energy: -5.40 eV per atom
- Theoretical density: 4.53 g cm⁻³

***

Compound: CaMgPbF
Source: the Alexandria database
Functional: PBE
Structure: optimized geometry

Cell and atoms, written as POSCAR:
```
CaMgPbF
1.0
4.179 0.000 0.000
0.000 4.179 0.000
0.000 0.000 10.557
Ca Mg Pb F
2 2 2 2
direct
0.250 0.250 0.114
0.750 0.750 0.886
0.250 0.750 0.500
0.750 0.250 0.500
0.250 0.250 0.706
0.750 0.750 0.294
0.250 0.750 0.000
0.750 0.250 0.000
```

Results
- Energy relative to the elements, uncorrected: -1.571 eV per atom
- SG: P4/nmm
- DFT total energy: -3.87 eV per atom
- Theoretical density: 5.23 g cm⁻³

***

Compound: CaMgPbF6
Source: the Alexandria database
Functional: PBE
Structure: optimized geometry

Cell and atoms, written as POSCAR:
```
CaMgPbF6
1.0
5.714 0.000 0.000
-2.857 4.948 0.000
0.000 0.000 10.205
Ca Mg Pb F
2 2 2 12
direct
0.333 0.667 0.250
0.667 0.333 0.750
0.333 0.667 0.750
0.667 0.333 0.250
0.000 0.000 0.000
0.000 0.000 0.500
0.032 0.375 0.641
0.032 0.658 0.859
0.342 0.375 0.859
0.342 0.968 0.641
0.375 0.032 0.141
0.375 0.342 0.359
0.625 0.658 0.641
0.625 0.968 0.859
0.658 0.032 0.359
0.658 0.625 0.141
0.968 0.342 0.141
0.968 0.625 0.359
```

Results
- Energy relative to the elements, uncorrected: -3.256 eV per atom
- SG: P-31c
- DFT total energy: -5.31 eV per atom
- Theoretical density: 4.44 g cm⁻³

***

Compound: Rb3CaMg2F9
Source: the Alexandria database
Functional: PBE
Structure: optimized geometry

Cell and atoms, written as POSCAR:
```
Rb3CaMg2F9
1.0
5.995 0.000 0.000
-2.998 5.192 0.000
0.000 0.000 7.371
Rb Ca Mg F
3 1 2 9
direct
0.000 0.000 0.000
0.333 0.667 0.670
0.667 0.333 0.330
0.000 0.000 0.500
0.333 0.667 0.157
0.667 0.333 0.843
0.000 0.500 0.000
0.176 0.351 0.319
0.176 0.824 0.319
0.351 0.176 0.681
0.500 0.000 0.000
0.500 0.500 0.000
0.649 0.824 0.319
0.824 0.176 0.681
0.824 0.649 0.681
```

Results
- Energy relative to the elements, uncorrected: -3.332 eV per atom
- SG: P-3m1
- DFT total energy: -4.99 eV per atom
- Theoretical density: 3.74 g cm⁻³

***

Compound: CaMgSeF2
Source: the Alexandria database
Functional: PBE
Structure: optimized geometry

Cell and atoms, written as POSCAR:
```
CaMgSeF2
1.0
3.915 0.000 0.000
0.000 3.915 0.000
0.000 0.000 9.446
Ca Mg Se F
1 1 1 2
direct
0.000 0.000 0.000
0.000 0.000 0.500
0.500 0.500 0.000
0.000 0.500 0.500
0.500 0.000 0.500
```

Results
- Energy relative to the elements, uncorrected: -2.507 eV per atom
- SG: P4/mmm
- DFT total energy: -4.67 eV per atom
- Theoretical density: 2.08 g cm⁻³

***

Compound: SrCa2MgF
Source: the Alexandria database
Functional: PBE
Structure: optimized geometry

Cell and atoms, written as POSCAR:
```
SrCa2MgF
1.0
5.112 0.000 0.000
0.000 5.112 0.000
0.000 0.000 5.580
Sr Ca Mg F
1 2 1 1
direct
0.000 0.000 0.000
0.000 0.500 0.500
0.500 0.000 0.500
0.500 0.500 0.000
0.000 0.000 0.500
```

Results
- Energy relative to the elements, uncorrected: -1.043 eV per atom
- SG: P4/mmm
- DFT total energy: -2.87 eV per atom
- Theoretical density: 2.40 g cm⁻³

***

Compound: Ca2MgTiF
Source: the Alexandria database
Functional: PBE
Structure: optimized geometry

Cell and atoms, written as POSCAR:
```
Ca2MgTiF
1.0
5.883 0.000 0.000
0.000 5.883 0.000
0.000 0.000 5.354
Ca Mg Ti F
2 1 1 1
direct
0.000 0.500 0.000
0.500 0.000 0.000
0.000 0.000 0.500
0.000 0.000 0.000
0.500 0.500 0.500
```

Results
- Energy relative to the elements, uncorrected: 0.323 eV per atom
- SG: P4/mmm
- DFT total energy: -2.75 eV per atom
- Theoretical density: 1.54 g cm⁻³

***

Q: Which of these has the highest energy relative to the elements, uncorrected?
A: Ca2MgTiF